# TaP2Br (GGA-PBEsol, relaxed)
data_TaP2Br
_chemical_formula_sum 'Ta1 P2 Br1'
_space_group_name_H-M_alt 'P m m m'
_space_group_IT_number 47
_space_group_name_Hall '-P 2 2'
_cell_length_a 3.033
_cell_length_b 4.573
_cell_length_c 4.636
_cell_angle_alpha 90.00
_cell_angle_beta 90.00
_cell_angle_gamma 90.00
loop_
_atom_site_label
_atom_site_type_symbol
_atom_site_fract_x
_atom_site_fract_y
_atom_site_fract_z
Ta1 Ta 0.000 0.000 0.000
P1 P 0.000 0.500 0.500
P2 P 0.500 0.000 0.500
Br1 Br 0.500 0.500 0.000
# Uncorrected energy, eV/f.u.: -23.77
# ΔE_f (raw), meV/atom: 560
# Crystal system: orthorhombic

# WSe2BrN (GGA-PBEsol, relaxed)
data_WSe2BrN
_chemical_formula_sum 'W1 Se2 Br1 N1'
_space_group_name_H-M_alt 'P 4/m m m'
_space_group_IT_number 123
_space_group_name_Hall '-P 4 2'
_cell_length_a 4.268
_cell_length_b 4.268
_cell_length_c 4.315
_cell_angle_alpha 90.00
_cell_angle_beta 90.00
_cell_angle_gamma 90.00
loop_
_atom_site_label
_atom_site_type_symbol
_atom_site_fract_x
_atom_site_fract_y
_atom_site_fract_z
W1 W 0.000 0.000 0.000
Se1 Se 0.000 0.500 0.500
Br1 Br 0.500 0.500 0.000
N1 N 0.500 0.500 0.500
# Uncorrected energy, eV/f.u.: -24.80
# ΔE_f (raw), meV/atom: 1420
# Crystal system: tetragonal

# Li2CrAu (GGA-PBEsol, relaxed)
data_Li2CrAu
_chemical_formula_sum 'Li6 Cr3 Au3'
_space_group_name_H-M_alt 'R -3 m'
_space_group_IT_number 166
_space_group_name_Hall '-R 3 2"'
_cell_length_a 2.6853
_cell_length_b 2.6853
_cell_length_c 27.5034
_cell_angle_alpha 90.00
_cell_angle_beta 90.00
_cell_angle_gamma 120.00
loop_
_atom_site_label
_atom_site_type_symbol
_atom_site_fract_x
_atom_site_fract_y
_atom_site_fract_z
Li1 Li 0.0000 0.0000 0.2501
Cr1 Cr 0.0000 0.0000 0.0000
Au1 Au 0.0000 0.0000 0.5000
# Uncorrected energy, eV/f.u.: -17.15
# Calculated formation energy, eV/atom: 0.2365
# Crystal system: trigonal

# Tc2SbW (GGA-PBEsol, relaxed)
data_Tc2SbW
_chemical_formula_sum 'Tc2 Sb1 W1'
_space_group_name_H-M_alt 'P 4 m m'
_space_group_IT_number 99
_space_group_name_Hall 'P 4 -2'
_cell_length_a 3.016
_cell_length_b 3.016
_cell_length_c 6.980
_cell_angle_alpha 90.00
_cell_angle_beta 90.00
_cell_angle_gamma 90.00
loop_
_atom_site_label
_atom_site_type_symbol
_atom_site_fract_x
_atom_site_fract_y
_atom_site_fract_z
Tc1 Tc 0.000 0.000 0.000
Tc2 Tc 0.500 0.500 0.229
Sb1 Sb 0.500 0.500 0.744
W1 W 0.000 0.000 0.469
# Uncorrected energy, eV/f.u.: -39.64
# ΔE_f (raw), meV/atom: 315
# Crystal system: tetragonal